An optimized crystal structure of LiRhPb3. Source: Alexandria via LeMat-Bulk, functional PBEsol.

Calculated values
The crystal system is cubic. The magnetic moment comes out at 0.00 μB per atom. The value obtained for the raw total energy is -21.28 eV/cell. As for the formation energy: 0.82 eV/f.u. The value obtained for the density of states at the Fermi level is 5.8 states/eV per cell.

Lattice parameters (Å, degrees): 5.2597 5.2597 5.2597 90.00 90.00 90.00
Last column: nearest neighbours and their distance in Å.
Space group Pm-3m (No. 221)
Asymmetric unit:
Li  0.0000  0.0000  0.0000 x1  12 Pb 3.72
Rh  0.5000  0.5000  0.5000 x1  6 Pb 2.63
Pb  0.0000  0.5000  0.5000 x3  2 Rh 2.63